1.
VASP calculation (GGA-PBE) on a geometry-optimized Ba2CdInCu structure.

a = 6.229 Å, b = 6.229 Å, c = 4.931 Å
α = 90.00°, β = 90.00°, γ = 90.00°
Fractional coordinates of all 5 atoms:
Ba (0.000, 0.500, 0.000)
Ba (0.500, 0.000, 0.000)
Cd (0.000, 0.000, 0.500)
In (0.500, 0.500, 0.500)
Cu (0.500, 0.500, 0.000)

## Properties
M_tot = 0.00 Bohr magnetons per cell
Energy = -2.46 eV/atom



2.
VASP calculation (GGA-PBE) on a geometry-optimized Ba2CdCuIr structure.

a = 6.021 Å, b = 6.021 Å, c = 4.861 Å
α = 90.00°, β = 90.00°, γ = 90.00°
Fractional coordinates of all 5 atoms:
Ba (0.000, 0.500, 0.000)
Ba (0.500, 0.000, 0.000)
Cd (0.000, 0.000, 0.500)
Cu (0.500, 0.500, 0.500)
Ir (0.500, 0.500, 0.000)

## Properties
M_tot = 0.00 Bohr magnetons per cell
Energy = -3.48 eV/atom



3.
VASP calculation (GGA-PBE) on a geometry-optimized KBaCdCu2 structure.

a = 5.289 Å, b = 5.289 Å, c = 6.085 Å
α = 90.00°, β = 90.00°, γ = 90.00°
Fractional coordinates of all 5 atoms:
K (0.000, 0.000, 0.000)
Ba (0.500, 0.500, 0.000)
Cd (0.500, 0.500, 0.500)
Cu (0.000, 0.500, 0.500)
Cu (0.500, 0.000, 0.500)

## Properties
M_tot = 0.00 Bohr magnetons per cell
Energy = -1.96 eV/atom



4.
VASP calculation (GGA-PBE) on a geometry-optimized KBaCd2Cu structure.

a = 5.405 Å, b = 5.405 Å, c = 5.754 Å
α = 90.00°, β = 90.00°, γ = 90.00°
Fractional coordinates of all 5 atoms:
K (0.000, 0.000, 0.000)
Ba (0.500, 0.500, 0.000)
Cd (0.000, 0.500, 0.500)
Cd (0.500, 0.000, 0.500)
Cu (0.500, 0.500, 0.500)

## Properties
M_tot = 0.00 Bohr magnetons per cell
Energy = -1.76 eV/atom



5.
VASP calculation (GGA-PBE) on a geometry-optimized KBa2CdCu structure.

a = 6.396 Å, b = 6.396 Å, c = 5.296 Å
α = 90.00°, β = 90.00°, γ = 90.00°
Fractional coordinates of all 5 atoms:
K (0.000, 0.000, 0.000)
Ba (0.000, 0.500, 0.500)
Ba (0.500, 0.000, 0.500)
Cd (0.500, 0.500, 0.000)
Cu (0.500, 0.500, 0.500)

## Properties
M_tot = 0.39 Bohr magnetons per cell
Energy = -1.96 eV/atom



6.
VASP calculation (GGA-PBE) on a geometry-optimized BaLaCdCu structure.

a = 7.913 Å, b = 7.913 Å, c = 7.913 Å
α = 90.00°, β = 90.00°, γ = 90.00°
Fractional coordinates of all 16 atoms:
Ba (0.000, 0.000, 0.000)
Ba (0.000, 0.500, 0.500)
Ba (0.500, 0.000, 0.500)
Ba (0.500, 0.500, 0.000)
La (0.000, 0.000, 0.500)
La (0.000, 0.500, 0.000)
La (0.500, 0.000, 0.000)
La (0.500, 0.500, 0.500)
Cd (0.250, 0.250, 0.250)
Cd (0.250, 0.750, 0.750)
Cd (0.750, 0.250, 0.750)
Cd (0.750, 0.750, 0.250)
Cu (0.250, 0.250, 0.750)
Cu (0.250, 0.750, 0.250)
Cu (0.750, 0.250, 0.250)
Cu (0.750, 0.750, 0.750)

## Properties
M_tot = 0.00 Bohr magnetons per cell
Energy = -3.02 eV/atom